Here is CoCu3N after structural relaxation from the Alexandria database. Energies are from PBE-GGA.

Values from the calculation:
Total magnetization ... 1.26 μB per formula unit
Energy relative to the elements, uncorrected ... 0.49 eV/atom
Calculated density ... 7.80 g/cm3

Cell and atoms, written as CIF:
```
data_CoCu3N
_cell_length_a 3.828
_cell_length_b 3.828
_cell_length_c 3.828
_cell_angle_alpha 90.00
_cell_angle_beta 90.00
_cell_angle_gamma 90.00
_symmetry_space_group_name_H-M 'P m -3 m'
_symmetry_Int_Tables_number 221
_symmetry_space_group_name_Hall '-P 4 2 3'
loop_
_atom_site_label
_atom_site_fract_x
_atom_site_fract_y
_atom_site_fract_z
_atom_site_occupancy
Co1 0.000 0.000 0.000 1
Cu1 0.000 0.500 0.500 1
N1 0.500 0.500 0.500 1
```